VASP calculation (PBE) on a geometry-optimized CeTcGe2 structure.

Cell lengths 4.2000, 4.2138, 5.4095 Å; angles 109.54, 96.25, 115.29 degrees
Last column: nearest neighbours and their distance in Å.
Space group P-1 (No. 2)
Inequivalent atoms, fractional coordinates:
Ce 0.0000 0.0000 0.0000  8 Ge 2.98-3.25, 2 Tc 3.24
Tc 0.5000 0.0000 0.5000  6 Ge 2.60-2.62
Ge 0.2174 0.4460 0.6628  3 Tc 2.60-2.62, 1 Ge 2.68

Output
Fermi-level density of states = 3.75 states/eV per cell
Distance to the lowest polymorph of the same formula = 0.0 meV per atom
Energy = -6.86 eV per atom
Calculated density = 8.168 Mg/m³

***

VASP calculation (PBE) on a geometry-optimized Li4DyGe2 structure.

Cell lengths 7.5679, 7.5679, 4.3352 Å; angles 90.00, 90.00, 90.00 degrees
Last column: nearest neighbours and their distance in Å.
Space group P4_2/mnm (No. 136)
Inequivalent atoms, fractional coordinates:
Li 0.1044 0.3492 0.0000  3 Ge 2.60-2.62, 2 Li 2.62-2.78
Dy 0.0000 0.0000 0.5000  6 Ge 3.10-3.12, 4 Li 3.20
Ge 0.2103 0.7897 0.0000  6 Li 2.60-2.62

Output
Fermi-level density of states = 5.76 states/eV per cell
Energy = -3.54 eV per atom
Calculated density = 4.488 Mg/m³

***

Among the records above, which one has the lowest calculated density?
Li4DyGe2

***

energy of number 2 (Li4DyGe2)?
-3.54 eV per atom